The following is a PBE calculation of Ho3Tm5In2 after structural relaxation, from Alexandria via LeMat-Bulk.

Cell and atoms, written as POSCAR:
```
Ho3Tm5In2
1.0
-6.2878 7.7603 3.1328
6.2878 -7.7603 3.1328
6.2878 7.7603 -3.1328
Ho Tm In
6 10 4
direct
0.2281 0.1126 0.3407
0.2500 0.2500 0.0000
0.2719 0.6126 0.8845
0.7281 0.3874 0.1155
0.7500 0.7500 0.0000
0.7719 0.8874 0.6593
0.1637 0.3777 0.5414
0.2500 0.5012 0.2512
0.2500 0.7500 0.5000
0.2500 0.9988 0.7488
0.3363 0.8777 0.2141
0.6637 0.1223 0.7859
0.7500 0.0012 0.2512
0.7500 0.2500 0.5000
0.7500 0.4988 0.7488
0.8363 0.6223 0.4586
0.1472 0.8630 0.0102
0.3528 0.3630 0.7158
0.6472 0.6370 0.2842
0.8528 0.1370 0.9898
```

Computed properties:
The value obtained for the total magnetization is 0.00 μB per formula unit. The mass density comes out at 8.52 g/cm3. The total energy comes out at -40.46 eV/f.u.

=====

The following is a PBE calculation of PmRh after structural relaxation, from Alexandria via LeMat-Bulk.

Cell and atoms, written as POSCAR:
```
PmRh
1.0
3.9082 0.0000 0.0000
0.0000 10.9089 0.0000
0.0000 0.0000 4.2533
Pm Rh
4 4
direct
0.0000 0.1419 0.2500
0.0000 0.8581 0.7500
0.5000 0.3581 0.7500
0.5000 0.6419 0.2500
0.0000 0.4152 0.2500
0.0000 0.5848 0.7500
0.5000 0.0848 0.7500
0.5000 0.9152 0.2500
```

Computed properties:
The value obtained for the total magnetization is 0.00 μB per formula unit. The mass density comes out at 9.08 g/cm3. The total energy comes out at -13.53 eV/f.u.

=====

The following is a PBE calculation of TlAgSe after structural relaxation, from Alexandria via LeMat-Bulk.

Cell and atoms, written as POSCAR:
```
TlAgSe
1.0
3.7979 0.0000 0.0000
0.0000 3.7979 0.0000
0.0000 0.0000 11.1551
Tl Ag Se
2 2 2
direct
0.0000 0.0000 0.0000
0.5000 0.5000 0.5000
0.0000 0.0000 0.7270
0.5000 0.5000 0.2270
0.0000 0.0000 0.2855
0.5000 0.5000 0.7855
```

Computed properties:
The value obtained for the total magnetization is 0.00 μB per formula unit. The mass density comes out at 8.07 g/cm3. As for the formation energy (no corrections): -0.040 eV/atom. The total energy comes out at -8.82 eV/f.u. Its energy above the lowest structure with this stoichiometry is 207 meV per atom.